Computed, not measured: an optimized crystal structure of LiNiTe2O6 at the PBE+U level of DFT.

Cell: 5.3519 5.3535 6.2165 Å, 90.05 115.50 119.99°
Site moments in Bohr magnetons follow the coordinates.
Atoms (fractional coordinates):
Li (0.1255, 0.5621, 0.6735)  0.00
Ni (0.9644, 0.9816, 0.9320)  1.77
Te (0.5520, 0.7756, 0.3133)  0.01
Te (0.5926, 0.2957, 0.8742)  0.00
O (0.5128, 0.9407, 0.7019)  0.04
O (0.4266, 0.0299, 0.1347)  0.02
O (0.7529, 0.7223, 0.1344)  0.02
O (0.1185, 0.3957, 0.1344)  0.02
O (0.7754, 0.5709, 0.7022)  0.04
O (0.1449, 0.2030, 0.7020)  0.04

Properties
D(E_F) = 3.558 states/eV per cell
E_tot = -51.85 eV/cell
V = 134 Å³/cell